Entry a
VASP calculation (PBE) on crystalline CaScInGa at its relaxed geometry.

Geometry as CIF:
```
data_CaScInGa
_chemical_formula_sum 'Ca4 Sc4 In4 Ga4'
_symmetry_space_group_name_H-M 'F -4 3 m'
_symmetry_Int_Tables_number 216
_symmetry_space_group_name_Hall 'F -4 2 3'
_cell_length_a 7.225
_cell_length_b 7.225
_cell_length_c 7.225
_cell_angle_alpha 90.00
_cell_angle_beta 90.00
_cell_angle_gamma 90.00
loop_
_atom_site_label
_atom_site_type_symbol
_atom_site_fract_x
_atom_site_fract_y
_atom_site_fract_z
Ca1 Ca 0.000 0.000 0.000
Sc1 Sc 0.000 0.000 0.500
In1 In 0.250 0.250 0.250
Ga1 Ga 0.250 0.250 0.750
```


Entry b
VASP calculation (PBE) on crystalline CaScInGa at its relaxed geometry.

Geometry as CIF:
```
data_CaScInGa
_chemical_formula_sum 'Ca1 Sc1 In1 Ga1'
_symmetry_space_group_name_H-M 'P 4 m m'
_symmetry_Int_Tables_number 99
_symmetry_space_group_name_Hall 'P 4 -2'
_cell_length_a 3.560
_cell_length_b 3.560
_cell_length_c 7.394
_cell_angle_alpha 90.00
_cell_angle_beta 90.00
_cell_angle_gamma 90.00
loop_
_atom_site_label
_atom_site_type_symbol
_atom_site_fract_x
_atom_site_fract_y
_atom_site_fract_z
Ca1 Ca 0.000 0.000 0.000
Sc1 Sc 0.000 0.000 0.535
In1 In 0.500 0.500 0.290
Ga1 Ga 0.500 0.500 0.739
```


Most stable structure - entry b; separation to the second - 7.3 kJ/mol of atoms.


Entry a
VASP calculation (PBE) on crystalline CaSmInGa at its relaxed geometry.

Geometry as CIF:
```
data_CaSmInGa
_chemical_formula_sum 'Ca1 Sm1 In1 Ga1'
_symmetry_space_group_name_H-M 'P 4 m m'
_symmetry_Int_Tables_number 99
_symmetry_space_group_name_Hall 'P 4 -2'
_cell_length_a 3.725
_cell_length_b 3.725
_cell_length_c 7.622
_cell_angle_alpha 90.00
_cell_angle_beta 90.00
_cell_angle_gamma 90.00
loop_
_atom_site_label
_atom_site_type_symbol
_atom_site_fract_x
_atom_site_fract_y
_atom_site_fract_z
Ca1 Ca 0.000 0.000 0.000
Sm1 Sm 0.000 0.000 0.530
In1 In 0.500 0.500 0.263
Ga1 Ga 0.500 0.500 0.762
```


Entry b
VASP calculation (PBE) on crystalline CaSmInGa at its relaxed geometry.

Geometry as CIF:
```
data_CaSmInGa
_chemical_formula_sum 'Ca4 Sm4 In4 Ga4'
_symmetry_space_group_name_H-M 'F -4 3 m'
_symmetry_Int_Tables_number 216
_symmetry_space_group_name_Hall 'F -4 2 3'
_cell_length_a 7.513
_cell_length_b 7.513
_cell_length_c 7.513
_cell_angle_alpha 90.00
_cell_angle_beta 90.00
_cell_angle_gamma 90.00
loop_
_atom_site_label
_atom_site_type_symbol
_atom_site_fract_x
_atom_site_fract_y
_atom_site_fract_z
Ca1 Ca 0.000 0.000 0.000
Sm1 Sm 0.000 0.000 0.500
In1 In 0.250 0.250 0.250
Ga1 Ga 0.250 0.250 0.750
```


Most stable structure - entry a; separation to the second - 3.1 kJ/mol of atoms.


Entry a
VASP calculation (PBE) on crystalline Ca3Ga4Ir2 at its relaxed geometry.

Geometry as CIF:
```
data_Ca3Ga4Ir2
_chemical_formula_sum 'Ca6 Ga8 Ir4'
_symmetry_space_group_name_H-M 'C 1 2/m 1'
_symmetry_Int_Tables_number 12
_symmetry_space_group_name_Hall '-C 2y'
_cell_length_a 10.704
_cell_length_b 4.364
_cell_length_c 8.573
_cell_angle_alpha 90.00
_cell_angle_beta 107.11
_cell_angle_gamma 90.00
loop_
_atom_site_label
_atom_site_type_symbol
_atom_site_fract_x
_atom_site_fract_y
_atom_site_fract_z
Ca1 Ca 0.000 0.000 0.000
Ca2 Ca 0.113 0.500 0.376
Ga1 Ga 0.103 0.000 0.641
Ga2 Ga 0.209 0.500 0.067
Ir1 Ir 0.203 0.500 0.768
```


Entry b
VASP calculation (PBE) on crystalline Ca3Ga4Ir2 at its relaxed geometry.

Geometry as CIF:
```
data_Ca3Ga4Ir2
_chemical_formula_sum 'Ca6 Ga8 Ir4'
_symmetry_space_group_name_H-M 'C 1 2/m 1'
_symmetry_Int_Tables_number 12
_symmetry_space_group_name_Hall '-C 2y'
_cell_length_a 10.790
_cell_length_b 4.414
_cell_length_c 8.397
_cell_angle_alpha 90.00
_cell_angle_beta 105.06
_cell_angle_gamma 90.00
loop_
_atom_site_label
_atom_site_type_symbol
_atom_site_fract_x
_atom_site_fract_y
_atom_site_fract_z
Ca1 Ca 0.000 0.000 0.000
Ca2 Ca 0.117 0.500 0.694
Ga1 Ga 0.103 0.000 0.412
Ga2 Ga 0.224 0.500 0.077
Ir1 Ir 0.189 0.500 0.357
```


Most stable structure - entry a; separation to the second - 1.9 kJ/mol of atoms.


Entry a
VASP calculation (PBE) on crystalline CaNdGaIr at its relaxed geometry.

Geometry as CIF:
```
data_CaNdGaIr
_chemical_formula_sum 'Ca2 Nd2 Ga2 Ir2'
_symmetry_space_group_name_H-M 'A m m 2'
_symmetry_Int_Tables_number 38
_symmetry_space_group_name_Hall 'A 2 -2'
_cell_length_a 4.099
_cell_length_b 4.206
_cell_length_c 11.420
_cell_angle_alpha 90.00
_cell_angle_beta 90.00
_cell_angle_gamma 90.00
loop_
_atom_site_label
_atom_site_type_symbol
_atom_site_fract_x
_atom_site_fract_y
_atom_site_fract_z
Ca1 Ca 0.000 0.000 0.000
Nd1 Nd 0.500 0.000 0.287
Ga1 Ga 0.500 0.000 0.583
Ir1 Ir 0.000 0.000 0.719
```


Entry b
VASP calculation (PBE) on crystalline CaNdGaIr at its relaxed geometry.

Geometry as CIF:
```
data_CaNdGaIr
_chemical_formula_sum 'Ca4 Nd4 Ga4 Ir4'
_symmetry_space_group_name_H-M 'F -4 3 m'
_symmetry_Int_Tables_number 216
_symmetry_space_group_name_Hall 'F -4 2 3'
_cell_length_a 7.131
_cell_length_b 7.131
_cell_length_c 7.131
_cell_angle_alpha 90.00
_cell_angle_beta 90.00
_cell_angle_gamma 90.00
loop_
_atom_site_label
_atom_site_type_symbol
_atom_site_fract_x
_atom_site_fract_y
_atom_site_fract_z
Ca1 Ca 0.000 0.000 0.000
Nd1 Nd 0.000 0.000 0.500
Ga1 Ga 0.250 0.250 0.750
Ir1 Ir 0.250 0.250 0.250
```


Most stable structure - entry a; separation to the second - 12.8 kJ/mol of atoms.


Entry a
VASP calculation (PBE) on crystalline CaPmGaIr at its relaxed geometry.

Geometry as CIF:
```
data_CaPmGaIr
_chemical_formula_sum 'Ca4 Pm4 Ga4 Ir4'
_symmetry_space_group_name_H-M 'F -4 3 m'
_symmetry_Int_Tables_number 216
_symmetry_space_group_name_Hall 'F -4 2 3'
_cell_length_a 7.100
_cell_length_b 7.100
_cell_length_c 7.100
_cell_angle_alpha 90.00
_cell_angle_beta 90.00
_cell_angle_gamma 90.00
loop_
_atom_site_label
_atom_site_type_symbol
_atom_site_fract_x
_atom_site_fract_y
_atom_site_fract_z
Ca1 Ca 0.000 0.000 0.000
Pm1 Pm 0.000 0.000 0.500
Ga1 Ga 0.250 0.250 0.750
Ir1 Ir 0.250 0.250 0.250
```


Entry b
VASP calculation (PBE) on crystalline CaPmGaIr at its relaxed geometry.

Geometry as CIF:
```
data_CaPmGaIr
_chemical_formula_sum 'Ca2 Pm2 Ga2 Ir2'
_symmetry_space_group_name_H-M 'A m m 2'
_symmetry_Int_Tables_number 38
_symmetry_space_group_name_Hall 'A 2 -2'
_cell_length_a 4.093
_cell_length_b 4.177
_cell_length_c 11.393
_cell_angle_alpha 90.00
_cell_angle_beta 90.00
_cell_angle_gamma 90.00
loop_
_atom_site_label
_atom_site_type_symbol
_atom_site_fract_x
_atom_site_fract_y
_atom_site_fract_z
Ca1 Ca 0.000 0.000 0.000
Pm1 Pm 0.500 0.000 0.288
Ga1 Ga 0.500 0.000 0.584
Ir1 Ir 0.000 0.000 0.721
```


Most stable structure - entry b; separation to the second - 12.5 kJ/mol of atoms.